[1]
Entry from Alexandria: CrBiI2N after structural relaxation (GGA-PBE).

Summary:
**Space group**: P4/mmm
**Magnetization**: 2.42 μB/f.u.
**E_form (uncorrected)**: 262.1 kJ/mol of formula units
**Raw total energy**: -4.4426 eV per atom

Geometry as POSCAR:
```
CrBiI2N
1.0
6.152 0.000 0.000
0.000 6.152 0.000
0.000 0.000 3.624
Cr Bi I N
1 1 2 1
Cartesian
0.000 0.000 0.000
3.076 3.076 0.000
0.000 3.076 1.812
3.076 0.000 1.812
0.000 0.000 1.812
```

[2]
Entry from Alexandria: CrBiI2N after structural relaxation (GGA-PBE).

Summary:
**Space group**: P4/mmm
**Magnetization**: 2.23 μB/f.u.
**E_form (uncorrected)**: 111.2 kJ/mol of formula units
**Raw total energy**: -4.7556 eV per atom

Geometry as POSCAR:
```
CrBiI2N
1.0
5.826 0.000 0.000
0.000 5.826 0.000
0.000 0.000 3.668
Cr Bi I N
1 1 2 1
Cartesian
0.000 0.000 0.000
2.913 2.913 1.834
0.000 2.913 0.000
2.913 0.000 0.000
0.000 0.000 1.834
```

[3]
Entry from Alexandria: CrBiI2N after structural relaxation (GGA-PBE).

Summary:
**Space group**: P4/mmm
**Magnetization**: 4.73 μB/f.u.
**E_form (uncorrected)**: 474.3 kJ/mol of formula units
**Raw total energy**: -4.0028 eV per atom

Geometry as POSCAR:
```
CrBiI2N
1.0
6.339 0.000 0.000
0.000 6.339 0.000
0.000 0.000 4.223
Cr Bi I N
1 1 2 1
Cartesian
0.000 0.000 0.000
3.170 3.170 2.111
0.000 3.170 2.111
3.170 0.000 2.111
3.170 3.170 0.000
```

[4]
Entry from Alexandria: CrBi2OsI after structural relaxation (GGA-PBE).

Summary:
**Space group**: P4/mmm
**Magnetization**: 2.38 μB/f.u.
**E_form (uncorrected)**: 772.6 kJ/mol of formula units
**Raw total energy**: -4.4316 eV per atom

Geometry as POSCAR:
```
CrBi2OsI
1.0
5.229 0.000 0.000
0.000 5.229 0.000
0.000 0.000 4.911
Cr Bi Os I
1 2 1 1
Cartesian
0.000 0.000 0.000
0.000 2.615 0.000
2.615 0.000 0.000
2.615 2.615 2.456
0.000 0.000 2.456
```

[5]
Entry from Alexandria: CrBi2SI after structural relaxation (GGA-PBE).

Summary:
**Space group**: P4/mmm
**Magnetization**: 0.00 μB/f.u.
**E_form (uncorrected)**: 58.1 kJ/mol of formula units
**Raw total energy**: -4.4922 eV per atom

Geometry as POSCAR:
```
CrBi2SI
1.0
5.494 0.000 0.000
0.000 5.494 0.000
0.000 0.000 4.283
Cr Bi S I
1 2 1 1
Cartesian
0.000 0.000 0.000
0.000 2.747 0.000
2.747 0.000 0.000
0.000 0.000 2.141
2.747 2.747 2.141
```

[6]
Entry from Alexandria: CrBiSbI2 after structural relaxation (GGA-PBE).

Summary:
**Space group**: P4/mmm
**Magnetization**: 3.39 μB/f.u.
**E_form (uncorrected)**: 183.0 kJ/mol of formula units
**Raw total energy**: -3.7660 eV per atom

Geometry as POSCAR:
```
CrBiSbI2
1.0
5.149 0.000 0.000
0.000 5.149 0.000
0.000 0.000 5.367
Cr Bi Sb I
1 1 1 2
Cartesian
0.000 0.000 0.000
2.575 2.575 2.684
0.000 0.000 2.684
0.000 2.575 0.000
2.575 0.000 0.000
```

[7]
Entry from Alexandria: CrBiSb2I after structural relaxation (GGA-PBE).

Summary:
**Space group**: P4/mmm
**Magnetization**: 0.02 μB/f.u.
**E_form (uncorrected)**: 255.5 kJ/mol of formula units
**Raw total energy**: -4.1302 eV per atom

Geometry as POSCAR:
```
CrBiSb2I
1.0
4.968 0.000 0.000
0.000 4.968 0.000
0.000 0.000 5.788
Cr Bi Sb I
1 1 2 1
Cartesian
0.000 0.000 0.000
2.484 2.484 2.894
0.000 2.484 0.000
2.484 0.000 0.000
0.000 0.000 2.894
```

[8]
Entry from Alexandria: CrBiSb2I after structural relaxation (GGA-PBE).

Summary:
**Space group**: P4/mmm
**Magnetization**: 0.13 μB/f.u.
**E_form (uncorrected)**: 764.0 kJ/mol of formula units
**Raw total energy**: -3.0762 eV per atom

Geometry as POSCAR:
```
CrBiSb2I
1.0
5.842 0.000 0.000
0.000 5.842 0.000
0.000 0.000 6.054
Cr Bi Sb I
1 1 2 1
Cartesian
0.000 0.000 0.000
2.921 2.921 3.027
0.000 2.921 3.027
2.921 0.000 3.027
2.921 2.921 0.000
```

[9]
Entry from Alexandria: CrBi2SbI after structural relaxation (GGA-PBE).

Summary:
**Space group**: P4/mmm
**Magnetization**: 3.75 μB/f.u.
**E_form (uncorrected)**: 651.3 kJ/mol of formula units
**Raw total energy**: -3.2615 eV per atom

Geometry as POSCAR:
```
CrBi2SbI
1.0
5.938 0.000 0.000
0.000 5.938 0.000
0.000 0.000 5.780
Cr Bi Sb I
1 2 1 1
Cartesian
0.000 0.000 0.000
0.000 2.969 2.890
2.969 0.000 2.890
2.969 2.969 0.000
2.969 2.969 2.890
```

[10]
Entry from Alexandria: CrBiSbI2 after structural relaxation (GGA-PBE).

Summary:
**Space group**: P4/mmm
**Magnetization**: 0.76 μB/f.u.
**E_form (uncorrected)**: 634.2 kJ/mol of formula units
**Raw total energy**: -2.8309 eV per atom

Geometry as POSCAR:
```
CrBiSbI2
1.0
6.089 0.000 0.000
0.000 6.089 0.000
0.000 0.000 6.016
Cr Bi Sb I
1 1 1 2
Cartesian
0.000 0.000 0.000
3.045 3.045 3.008
3.045 3.045 0.000
0.000 3.045 3.008
3.045 0.000 3.008
```

[11]
Entry from Alexandria: CrBiTeI2 after structural relaxation (GGA-PBE).

Summary:
**Space group**: P4/mmm
**Magnetization**: 4.93 μB/f.u.
**E_form (uncorrected)**: 264.6 kJ/mol of formula units
**Raw total energy**: -3.4008 eV per atom

Geometry as POSCAR:
```
CrBiTeI2
1.0
6.083 0.000 0.000
0.000 6.083 0.000
0.000 0.000 6.086
Cr Bi Te I
1 1 1 2
Cartesian
0.000 0.000 0.000
3.041 3.041 3.043
3.041 3.041 0.000
0.000 3.041 3.043
3.041 0.000 3.043
```

[12]
Entry from Alexandria: CrBiTeI2 after structural relaxation (GGA-PBE).

Summary:
**Space group**: P4/mmm
**Magnetization**: 3.87 μB/f.u.
**E_form (uncorrected)**: 90.1 kJ/mol of formula units
**Raw total energy**: -3.7625 eV per atom

Geometry as POSCAR:
```
CrBiTeI2
1.0
5.375 0.000 0.000
0.000 5.375 0.000
0.000 0.000 5.563
Cr Bi Te I
1 1 1 2
Cartesian
0.000 0.000 0.000
2.687 2.687 2.781
0.000 0.000 2.781
0.000 2.687 0.000
2.687 0.000 0.000
```

Question: magnetization of number 6 (CrBiSbI2)?
Answer: 3.39 μB/f.u.